A relaxed structure of SrY2Mg. Source: Alexandria via LeMat-Bulk, functional PBE-GGA.

POSCAR file:
```
SrY2Mg
1.0
-4.053 1.580 5.569
-2.677 -3.340 -5.622
-0.720 -3.166 1.303
Y Mg Sr
2 1 1
direct
0.000 0.000 0.000
0.500 0.500 0.000
0.500 0.000 0.500
0.000 0.500 0.500
```

Summary:
electronic total energy: -0.285 Ry per atom
ΔE_f: 0.17 eV/atom